Record 1
# Ta3Ru PBEsol optimized geometry
# **Formation enthalpy at 0 K**: -0.263 eV/atom
data_Ta3Ru
_symmetry_space_group_name_H-M 'P 4/m m m'
_symmetry_Int_Tables_number 123
_symmetry_space_group_name_Hall '-P 4 2'
_cell_length_a 3.184
_cell_length_b 3.184
_cell_length_c 6.502
_cell_angle_alpha 90.00
_cell_angle_beta 90.00
_cell_angle_gamma 90.00
loop_
_atom_site_label
_atom_site_type_symbol
_atom_site_fract_x
_atom_site_fract_y
_atom_site_fract_z
Ta1 Ta 0.000 0.000 0.000
Ta2 Ta 0.500 0.500 0.257
Ru1 Ru 0.000 0.000 0.500



Record 2
# TaRu5 PBEsol optimized geometry
# **Formation enthalpy at 0 K**: -0.045 eV/atom
data_TaRu5
_symmetry_space_group_name_H-M 'A m m 2'
_symmetry_Int_Tables_number 38
_symmetry_space_group_name_Hall 'A 2 -2'
_cell_length_a 4.304
_cell_length_b 2.746
_cell_length_c 14.176
_cell_angle_alpha 90.00
_cell_angle_beta 90.00
_cell_angle_gamma 90.00
loop_
_atom_site_label
_atom_site_type_symbol
_atom_site_fract_x
_atom_site_fract_y
_atom_site_fract_z
Ta1 Ta 0.000 0.000 0.000
Ru1 Ru 0.000 0.000 0.328
Ru2 Ru 0.000 0.000 0.670
Ru3 Ru 0.500 0.000 0.114
Ru4 Ru 0.500 0.000 0.443
Ru5 Ru 0.500 0.000 0.780



Record 3
# TaRu5 PBEsol optimized geometry
# **Formation enthalpy at 0 K**: -0.071 eV/atom
data_TaRu5
_symmetry_space_group_name_H-M 'C 1 m 1'
_symmetry_Int_Tables_number 8
_symmetry_space_group_name_Hall 'C -2y'
_cell_length_a 9.839
_cell_length_b 2.737
_cell_length_c 6.413
_cell_angle_alpha 90.00
_cell_angle_beta 103.78
_cell_angle_gamma 90.00
loop_
_atom_site_label
_atom_site_type_symbol
_atom_site_fract_x
_atom_site_fract_y
_atom_site_fract_z
Ta1 Ta 0.000 0.000 0.000
Ru1 Ru 0.115 0.500 0.713
Ru2 Ru 0.171 0.500 0.334
Ru3 Ru 0.274 0.000 0.052
Ru4 Ru 0.330 0.000 0.658
Ru5 Ru 0.445 0.500 0.391



Record 4
# TaRu3 PBEsol optimized geometry
# **Formation enthalpy at 0 K**: -0.162 eV/atom
data_TaRu3
_symmetry_space_group_name_H-M 'P 63/m m c'
_symmetry_Int_Tables_number 194
_symmetry_space_group_name_Hall '-P 6c 2c'
_cell_length_a 5.5186
_cell_length_b 5.5186
_cell_length_c 4.3389
_cell_angle_alpha 90.00
_cell_angle_beta 90.00
_cell_angle_gamma 120.00
loop_
_atom_site_label
_atom_site_type_symbol
_atom_site_fract_x
_atom_site_fract_y
_atom_site_fract_z
Ta1 Ta 0.3333 0.6667 0.2500
Ru1 Ru 0.1658 0.3317 0.7500



Record 5
# Ta3Ru PBEsol optimized geometry
# **Formation enthalpy at 0 K**: -0.235 eV/atom
data_Ta3Ru
_symmetry_space_group_name_H-M 'C m c m'
_symmetry_Int_Tables_number 63
_symmetry_space_group_name_Hall '-C 2c 2'
_cell_length_a 6.423
_cell_length_b 9.025
_cell_length_c 4.522
_cell_angle_alpha 90.00
_cell_angle_beta 90.00
_cell_angle_gamma 90.00
loop_
_atom_site_label
_atom_site_type_symbol
_atom_site_fract_x
_atom_site_fract_y
_atom_site_fract_z
Ta1 Ta 0.000 0.123 0.250
Ta2 Ta 0.246 0.375 0.250
Ru1 Ru 0.000 0.374 0.750



Record 6
# Ta4Ru5 PBEsol optimized geometry
# **Formation enthalpy at 0 K**: -0.240 eV/atom
data_Ta4Ru5
_symmetry_space_group_name_H-M 'I 4/m m m'
_symmetry_Int_Tables_number 139
_symmetry_space_group_name_Hall '-I 4 2'
_cell_length_a 8.354
_cell_length_b 8.354
_cell_length_c 3.932
_cell_angle_alpha 90.00
_cell_angle_beta 90.00
_cell_angle_gamma 90.00
loop_
_atom_site_label
_atom_site_type_symbol
_atom_site_fract_x
_atom_site_fract_y
_atom_site_fract_z
Ta1 Ta 0.000 0.312 0.000
Ru1 Ru 0.000 0.000 0.000
Ru2 Ru 0.164 0.164 0.500



Record 7
# TaRu3 PBEsol optimized geometry
# **Formation enthalpy at 0 K**: 2.586 eV/atom
data_TaRu3
_symmetry_space_group_name_H-M 'P m -3 m'
_symmetry_Int_Tables_number 221
_symmetry_space_group_name_Hall '-P 4 2 3'
_cell_length_a 4.705
_cell_length_b 4.705
_cell_length_c 4.705
_cell_angle_alpha 90.00
_cell_angle_beta 90.00
_cell_angle_gamma 90.00
loop_
_atom_site_label
_atom_site_type_symbol
_atom_site_fract_x
_atom_site_fract_y
_atom_site_fract_z
Ta1 Ta 0.000 0.000 0.000
Ru1 Ru 0.000 0.000 0.500



Record 8
# Ta4Ru PBEsol optimized geometry
# **Formation enthalpy at 0 K**: -0.215 eV/atom
data_Ta4Ru
_symmetry_space_group_name_H-M 'I 4/m'
_symmetry_Int_Tables_number 87
_symmetry_space_group_name_Hall '-I 4'
_cell_length_a 7.217
_cell_length_b 7.217
_cell_length_c 3.199
_cell_angle_alpha 90.00
_cell_angle_beta 90.00
_cell_angle_gamma 90.00
loop_
_atom_site_label
_atom_site_type_symbol
_atom_site_fract_x
_atom_site_fract_y
_atom_site_fract_z
Ta1 Ta 0.097 0.705 0.000
Ru1 Ru 0.000 0.000 0.500